Entry 1:
Material: CsHg2GeI
Method: DFT, PBE
State: optimized geometry

Geometry as POSCAR:
```
CsHg2GeI
1.0
-0.611 -0.982 5.548
-1.606 -5.319 -1.118
5.922 -1.857 0.323
Ge I Cs Hg
1 1 1 2
Cartesian
0.000 0.000 0.000
2.961 -0.928 0.162
1.853 -4.079 2.377
-0.803 -2.659 -0.559
-0.305 -0.491 2.774
```

Summary:
- formation energy (no corrections) (eV/atom) = -0.31
- theoretical density (g/cm³) = 6.1
- SG = P4/mmm
- total moment (μB per formula unit) = 0.00

Entry 2:
Material: Sm4ErAg5
Method: DFT, PBE
State: optimized geometry

Geometry as POSCAR:
```
Sm4ErAg5
1.0
-1.635 -2.956 -1.402
0.610 -1.816 3.116
-16.497 5.949 6.693
Sm Ag Er
4 5 1
Cartesian
-6.584 2.374 2.671
-9.913 3.575 4.022
-13.257 4.781 5.379
-3.240 1.169 1.315
-5.427 -0.614 2.851
-12.096 1.791 5.557
-15.483 3.013 6.931
-8.761 0.589 4.204
-2.039 -1.835 1.476
0.000 0.000 0.000
```

Summary:
- theoretical density (g/cm³) = 8.6
- SG = P4/mmm
- ΔH_f (0 K) (eV/atom) = -0.292
- total moment (μB per formula unit) = 0.00

Entry 3:
Material: NbCS2N
Method: DFT, PBE
State: optimized geometry

Geometry as POSCAR:
```
NbCS2N
1.0
4.898 0.000 0.000
0.000 4.898 0.000
0.000 0.000 3.861
S N C Nb
2 1 1 1
Cartesian
2.449 0.000 0.000
0.000 2.449 0.000
0.000 0.000 1.931
2.449 2.449 1.931
0.000 0.000 0.000
```

Summary:
- formation energy (no corrections) (eV/atom) = 1.48
- theoretical density (g/cm³) = 3.3
- SG = P4/mmm
- total moment (μB per formula unit) = 0.00

Entry 4:
Material: AgPtO4
Method: DFT, PBE
State: optimized geometry

Geometry as POSCAR:
```
AgPtO4
1.0
-1.550 1.739 4.026
4.759 -1.465 2.464
0.875 5.314 -1.958
Ag O Pt
2 8 2
Cartesian
-0.337 3.526 1.034
2.817 1.925 0.253
1.830 3.621 0.874
1.020 0.854 1.492
2.255 1.967 3.658
0.613 5.548 1.996
-0.350 2.952 3.011
3.065 4.734 3.040
4.435 2.636 1.522
3.472 0.040 2.537
0.000 0.000 0.000
1.605 0.137 3.245
```

Summary:
- formation energy (no corrections) (eV/atom) = -0.15
- theoretical density (g/cm³) = 8.5
- SG = P2_1/c
- total moment (μB per formula unit) = 0.88

Entry 5:
Material: AcBRh
Method: DFT, PBE
State: optimized geometry

Geometry as POSCAR:
```
AcBRh
1.0
-6.275 -2.767 2.028
0.656 -5.000 -4.793
4.867 -1.734 2.475
B Ac Rh
4 4 4
Cartesian
2.123 -5.742 -2.237
-2.876 -3.760 1.947
-1.137 -6.191 -0.328
0.384 -3.310 0.038
-0.696 -5.836 -3.425
3.320 -4.107 0.371
-4.073 -5.394 -0.661
-0.057 -3.665 3.135
0.720 -5.237 -0.803
-2.261 -7.818 -0.936
-1.473 -4.264 0.513
1.508 -1.683 0.646
```

Summary:
- theoretical density (g/cm³) = 9.2
- SG = P2_1/c
- ΔH_f (0 K) (eV/atom) = -0.511
- total moment (μB per formula unit) = 0.00

Entry 6:
Material: DySc2TlC
Method: DFT, PBE
State: optimized geometry

Geometry as POSCAR:
```
DySc2TlC
1.0
-0.637 4.834 0.018
-0.758 -0.117 4.534
4.496 0.589 0.767
Sc C Dy Tl
2 1 1 1
Cartesian
2.248 0.295 0.383
-0.379 -0.059 2.267
0.000 0.000 0.000
-0.318 2.417 0.009
1.551 2.653 2.660
```

Summary:
- theoretical density (g/cm³) = 7.5
- SG = P4/mmm
- ΔH_f (0 K) (eV/atom) = -0.545
- total moment (μB per formula unit) = 0.00

Entry 7:
Material: Zr2ZnHg2
Method: DFT, PBE
State: optimized geometry

Geometry as POSCAR:
```
Zr2ZnHg2
1.0
5.250 0.000 0.000
0.000 5.677 0.000
-2.625 -2.838 7.043
Hg Zr Zn
4 4 2
Cartesian
0.000 -2.028 5.709
0.000 0.811 1.334
2.625 2.028 5.709
2.625 4.866 1.334
0.000 0.918 4.381
0.000 3.757 2.662
2.625 1.920 2.662
2.625 -0.918 4.381
1.313 2.838 0.000
3.938 2.838 0.000
```

Summary:
- theoretical density (g/cm³) = 10.3
- SG = Ibam
- ΔH_f (0 K) (eV/atom) = -0.013
- total moment (μB per formula unit) = 0.00

Entry 8:
Material: Tb3PrNd4Te8
Method: DFT, PBE
State: optimized geometry

Geometry as POSCAR:
```
Tb3PrNd4Te8
1.0
8.887 0.000 0.000
0.000 8.942 0.032
-4.444 -4.440 6.287
Te Tb Nd Pr
8 3 4 1
Cartesian
0.000 0.081 3.197
4.444 4.421 3.122
4.444 0.081 3.141
0.000 4.421 3.178
-2.182 2.240 6.264
2.182 2.240 6.264
2.262 2.262 0.055
6.625 2.262 0.055
2.222 2.251 3.159
4.444 4.471 0.016
-2.222 2.251 3.159
2.222 -2.220 3.144
4.444 0.000 0.000
0.000 0.000 0.000
-2.222 -2.220 3.144
0.000 4.471 0.016
```

Summary:
- formation energy (no corrections) (eV/atom) = -1.38
- theoretical density (g/cm³) = 7.3
- SG = R-3m
- total moment (μB per formula unit) = 0.00

> The highest total moment belongs to which entry?

AgPtO4

Please write out number 4 again, unchanged.
Material: AgPtO4
Method: DFT, PBE
State: optimized geometry

Geometry as POSCAR:
```
AgPtO4
1.0
-1.550 1.739 4.026
4.759 -1.465 2.464
0.875 5.314 -1.958
Ag O Pt
2 8 2
Cartesian
-0.337 3.526 1.034
2.817 1.925 0.253
1.830 3.621 0.874
1.020 0.854 1.492
2.255 1.967 3.658
0.613 5.548 1.996
-0.350 2.952 3.011
3.065 4.734 3.040
4.435 2.636 1.522
3.472 0.040 2.537
0.000 0.000 0.000
1.605 0.137 3.245
```

Summary:
- formation energy (no corrections) (eV/atom) = -0.15
- theoretical density (g/cm³) = 8.5
- SG = P2_1/c
- total moment (μB per formula unit) = 0.88